ThTe3 after structural relaxation. Source: Alexandria, functional GGA-PBEsol.

The calculation puts the total magnetization at 0.000 Bohr magnetons per cell. Its formation energy without anion corrections is -0.93 eV per atom.

The structure belongs to space group P2_1/m (No. 11); the cell edges are 6.118, 4.361 and 10.365 Å and the angles 90.00°, 97.74° and 90.00°. Symmetry generates all atoms from Th at (0.215, 0.250, 0.340), Te at (0.063, 0.250, 0.829), Te at (0.265, 0.750, 0.566) and Te at (0.391, 0.750, 0.155).